Computed, not measured: an optimized crystal structure of Y2Se at the PBE-GGA level of DFT.

Calculated values
- Raw formation energy: 0.03 eV/f.u.
- Spin magnetization: 0.000 μB/cell

Lattice parameters (Å, degrees): 6.2317 6.2317 6.2317 60.00 60.00 60.00
Last column: nearest neighbours and their distance in Å.
Atoms (fractional coordinates):
Y1 0.0000 0.0000 0.0000  6 Y 3.12
Y2 0.0000 0.0000 0.5000  6 Y 3.12
Y3 0.0000 0.5000 0.0000  6 Y 3.12
Y4 0.5000 0.0000 0.0000  6 Y 3.12
Se1 0.3750 0.3750 0.3750  12 Y 3.65, 4 Se 3.82
Se2 0.6250 0.6250 0.6250  12 Y 3.65, 4 Se 3.82

=====

Computed, not measured: an optimized crystal structure of Y3Se2 at the PBE-GGA level of DFT.

Calculated values
- Raw formation energy: -6.59 eV/f.u.
- Energy relative to the lowest polymorph listed for this composition: 90.8 meV/atom
- Spin magnetization: 0.000 μB/cell

Lattice parameters (Å, degrees): 7.7200 7.7200 7.7200 53.38 53.38 53.38
Last column: nearest neighbours and their distance in Å.
Atoms (fractional coordinates):
Y1 0.0811 0.7500 0.4189  4 Se 2.81-2.87
Y2 0.2500 0.5811 0.9189  4 Se 2.81-2.87
Y3 0.4189 0.0811 0.7500  4 Se 2.81-2.87
Y4 0.5811 0.9189 0.2500  4 Se 2.81-2.87
Y5 0.7500 0.4189 0.0811  4 Se 2.81-2.87
Y6 0.9189 0.2500 0.5811  4 Se 2.81-2.87
Se1 0.1630 0.1630 0.1630  6 Y 2.81-2.87
Se2 0.3370 0.3370 0.3370  6 Y 2.81-2.87
Se3 0.6630 0.6630 0.6630  6 Y 2.81-2.87
Se4 0.8370 0.8370 0.8370  6 Y 2.81-2.87

=====

Computed, not measured: an optimized crystal structure of Y4Se at the PBE-GGA level of DFT.

Calculated values
- Raw formation energy: -2.72 eV/f.u.
- Energy relative to the lowest polymorph listed for this composition: 0.0 meV/atom
- Spin magnetization: 0.000 μB/cell

Lattice parameters (Å, degrees): 6.5966 6.5966 6.5966 94.27 94.27 148.35
Last column: nearest neighbours and their distance in Å.
Atoms (fractional coordinates):
Y1 0.0721 0.7302 0.8023  2 Se 3.09
Y2 0.2698 0.0721 0.3418  2 Se 3.09
Y3 0.7302 0.9279 0.6582  2 Se 3.09
Y4 0.9279 0.2698 0.1977  2 Se 3.09
Se1 0.5000 0.5000 0.0000  8 Y 3.09

=====

Computed, not measured: an optimized crystal structure of Y2Se at the PBE-GGA level of DFT.

Calculated values
- Raw formation energy: -3.16 eV/f.u.
- Spin magnetization: 0.000 μB/cell

Lattice parameters (Å, degrees): 6.5932 6.5932 6.8662 90.00 90.00 147.38
Last column: nearest neighbours and their distance in Å.
Atoms (fractional coordinates):
Y1 0.0233 0.9767 0.5000  4 Se 2.88-3.02
Y2 0.2839 0.7161 0.6905  3 Se 2.94-2.95
Y3 0.7161 0.2839 0.1905  3 Se 2.94-2.95
Y4 0.9767 0.0233 0.0000  4 Se 2.88-3.02
Se1 0.3854 0.6146 0.3042  7 Y 2.88-3.02
Se2 0.6146 0.3854 0.8042  7 Y 2.88-3.02

=====

Computed, not measured: an optimized crystal structure of Y2Se at the PBE-GGA level of DFT.

Calculated values
- Raw formation energy: -3.25 eV/f.u.
- Spin magnetization: 0.000 μB/cell

Lattice parameters (Å, degrees): 7.1742 7.1742 6.6469 110.29 110.29 30.41
Last column: nearest neighbours and their distance in Å.
Atoms (fractional coordinates):
Y1 0.0145 0.0145 0.2650  4 Se 3.01-3.09, 1 Y 3.29
Y2 0.2942 0.2942 0.2996  3 Se 2.93-2.94
Y3 0.7058 0.7058 0.7004  3 Se 2.93-2.94
Y4 0.9855 0.9855 0.7350  4 Se 3.01-3.09, 1 Y 3.29
Se1 0.3703 0.3703 0.9413  7 Y 2.93-3.09
Se2 0.6297 0.6297 0.0587  7 Y 2.93-3.09

=====

Computed, not measured: an optimized crystal structure of YSe5 at the PBE-GGA level of DFT.

Calculated values
- Raw formation energy: -2.12 eV/f.u.
- Spin magnetization: 0.000 μB/cell

Lattice parameters (Å, degrees): 5.4331 5.4331 5.4126 90.00 90.00 120.00
Last column: nearest neighbours and their distance in Å.
Atoms (fractional coordinates):
Y1 0.0000 0.0000 0.0000  12 Se 3.08-3.14
Se1 0.0000 0.7290 0.5000  2 Se 2.55
Se2 0.2710 0.2710 0.5000  2 Se 2.55
Se3 0.3333 0.6667 0.0000  3 Y 3.14, 9 Se 3.14-3.37
Se4 0.6667 0.3333 0.0000  3 Y 3.14, 9 Se 3.14-3.37
Se5 0.7290 0.0000 0.5000  2 Se 2.55

=====

Computed, not measured: an optimized crystal structure of Y2Se at the PBE-GGA level of DFT.

Calculated values
- Raw formation energy: -2.37 eV/f.u.
- Spin magnetization: 0.000 μB/cell

Lattice parameters (Å, degrees): 4.7082 4.7082 3.6932 90.00 90.00 90.00
Last column: nearest neighbours and their distance in Å.
Atoms (fractional coordinates):
Y1 0.0000 0.5000 0.0000  4 Se 2.99, 4 Y 3.33
Y2 0.5000 0.0000 0.0000  4 Se 2.99, 4 Y 3.33
Se1 0.0000 0.0000 0.5000  8 Y 2.99

=====

Computed, not measured: an optimized crystal structure of YSe5 at the PBE-GGA level of DFT.

Calculated values
- Raw formation energy: -1.82 eV/f.u.
- Spin magnetization: 0.000 μB/cell

Lattice parameters (Å, degrees): 3.7871 3.7871 9.4496 90.00 90.00 90.00
Last column: nearest neighbours and their distance in Å.
Atoms (fractional coordinates):
Y1 0.0000 0.0000 0.0000  8 Se 2.98
Se1 0.0000 0.0000 0.3534  5 Se 2.77-3.02
Se2 0.0000 0.0000 0.6466  5 Se 2.77-3.02
Se3 0.5000 0.5000 0.1376  1 Se 2.60
Se4 0.5000 0.5000 0.5000  8 Se 3.02
Se5 0.5000 0.5000 0.8624  1 Se 2.60

=====

Computed, not measured: an optimized crystal structure of YSe5 at the PBE-GGA level of DFT.

Calculated values
- Raw formation energy: -0.69 eV/f.u.
- Spin magnetization: 1.393 μB/cell

Lattice parameters (Å, degrees): 5.2262 5.2262 7.8051 90.00 90.00 120.00
Last column: nearest neighbours and their distance in Å.
Atoms (fractional coordinates):
Y1 0.0000 0.0000 0.0000  6 Se 3.02
Se1 0.0000 0.5000 0.5000  4 Se 2.61
Se2 0.3333 0.6667 0.0000  3 Y 3.02, 3 Se 3.02
Se3 0.5000 0.0000 0.5000  4 Se 2.61
Se4 0.5000 0.5000 0.5000  4 Se 2.61
Se5 0.6667 0.3333 0.0000  3 Y 3.02, 3 Se 3.02

=====

Computed, not measured: an optimized crystal structure of Y2Se at the PBE-GGA level of DFT.

Calculated values
- Raw formation energy: -3.47 eV/f.u.
- Spin magnetization: 0.000 μB/cell

Lattice parameters (Å, degrees): 7.6861 7.6861 5.8067 90.00 90.00 150.75
Last column: nearest neighbours and their distance in Å.
Atoms (fractional coordinates):
Y1 0.0546 0.9454 0.7500  2 Se 2.86
Y2 0.3401 0.6599 0.7500  4 Se 2.90-2.95
Y3 0.6599 0.3401 0.2500  4 Se 2.90-2.95
Y4 0.9454 0.0546 0.2500  2 Se 2.86
Se1 0.3046 0.6954 0.2500  6 Y 2.86-2.95
Se2 0.6954 0.3046 0.7500  6 Y 2.86-2.95

=====

Computed, not measured: an optimized crystal structure of YSe5 at the PBE-GGA level of DFT.

Calculated values
- Raw formation energy: -3.99 eV/f.u.
- Spin magnetization: 0.000 μB/cell

Lattice parameters (Å, degrees): 5.6196 5.6196 8.3949 95.67 95.67 44.08
Last column: nearest neighbours and their distance in Å.
Atoms (fractional coordinates):
Y1 0.0000 0.0000 0.0000  6 Se 2.81-3.07
Se1 0.2917 0.2917 0.9720  1 Se 2.45
Se2 0.3742 0.3742 0.2560  2 Se 2.38-2.45
Se3 0.5861 0.5861 0.7349  2 Se 2.48
Se4 0.5985 0.5985 0.2221  1 Se 2.38
Se5 0.9690 0.9690 0.6629  2 Se 2.48

=====

Computed, not measured: an optimized crystal structure of Y2Se3 at the PBE-GGA level of DFT.

Calculated values
- Raw formation energy: -8.97 eV/f.u.
- Spin magnetization: 0.000 μB/cell

Lattice parameters (Å, degrees): 7.4484 7.3668 8.6844 54.55 53.68 71.77
Last column: nearest neighbours and their distance in Å.
Atoms (fractional coordinates):
Y1 0.3096 0.6904 0.3996  6 Se 2.82-2.99
Y2 0.6496 0.8504 0.5596  6 Se 2.82-2.99
Y3 0.6904 0.3096 0.6004  6 Se 2.82-2.99
Y4 0.8504 0.6496 0.9404  6 Se 2.82-2.99
Se1 0.0302 0.0302 0.4698  4 Y 2.82-2.99
Se2 0.3000 0.5326 0.7984  4 Y 2.83-2.91
Se3 0.4516 0.8810 0.9500  4 Y 2.83-2.91
Se4 0.5326 0.3000 0.3690  4 Y 2.83-2.91
Se5 0.7802 0.7802 0.2198  4 Y 2.82-2.99
Se6 0.8810 0.4516 0.7174  4 Y 2.83-2.91